A relaxed CdSi2Os2 crystal, computed with PBE.

abc: 7.1958 7.1958 2.8438
angles: 90.00 90.00 90.00
Last column: nearest neighbours and their distance in Å.
Atoms (fractional coordinates):
Cd (0.0000, 0.0000, 0.0000)  4 Si 2.78, 2 Cd 2.84, 8 Os 3.08
Cd (0.5000, 0.5000, 0.0000)  4 Si 2.78, 2 Cd 2.84, 8 Os 3.08
Si (0.1391, 0.3609, 0.0000)  6 Os 2.53-2.56, 2 Cd 2.78, 1 Si 2.83
Si (0.3609, 0.8609, 0.0000)  6 Os 2.53-2.56, 2 Cd 2.78, 1 Si 2.83
Si (0.6391, 0.1391, 0.0000)  6 Os 2.53-2.56, 2 Cd 2.78, 1 Si 2.83
Si (0.8609, 0.6391, 0.0000)  6 Os 2.53-2.56, 2 Cd 2.78, 1 Si 2.83
Os (0.1520, 0.6520, 0.5000)  6 Si 2.53-2.56
Os (0.3480, 0.1520, 0.5000)  6 Si 2.53-2.56
Os (0.6520, 0.8480, 0.5000)  6 Si 2.53-2.56
Os (0.8480, 0.3480, 0.5000)  6 Si 2.53-2.56

* energy relative to the elements, uncorrected: -0.02 eV/atom
* size of the total moment: 0.00 Bohr magnetons per cell
* density of states at the Fermi level: 1.81 states/eV/f.u.
* symmetry: P4/mbm

=====

A relaxed CdSiOs2 crystal, computed with PBE.

abc: 2.8278 2.8278 8.1770
angles: 90.00 90.00 90.00
Last column: nearest neighbours and their distance in Å.
Atoms (fractional coordinates):
Cd (0.0000, 0.0000, 0.0000)  4 Cd 2.83, 4 Os 2.95
Si (0.5000, 0.5000, 0.6824)  4 Os 2.63, 4 Si 2.83
Os (0.0000, 0.0000, 0.4743)  4 Si 2.63, 8 Os 2.63-2.83
Os (0.5000, 0.5000, 0.2645)  8 Os 2.63-2.83, 4 Cd 2.95

* energy relative to the elements, uncorrected: 0.25 eV/atom
* size of the total moment: 0.00 Bohr magnetons per cell
* density of states at the Fermi level: 1.36 states/eV/f.u.
* symmetry: P4mm

=====

A relaxed CdSiOs crystal, computed with PBE.

abc: 4.1739 4.1739 4.1739
angles: 60.00 60.00 60.00
Last column: nearest neighbours and their distance in Å.
Atoms (fractional coordinates):
Cd (0.0000, 0.0000, 0.0000)  4 Si 2.56
Si (0.2500, 0.2500, 0.2500)  4 Cd 2.56, 4 Os 2.56
Os (0.5000, 0.5000, 0.5000)  4 Si 2.56

* energy relative to the elements, uncorrected: 0.37 eV/atom
* size of the total moment: 0.00 Bohr magnetons per cell
* density of states at the Fermi level: 1.59 states/eV/f.u.
* symmetry: F-43m

=====

A relaxed CdSiOs crystal, computed with PBE.

abc: 7.3655 7.1275 2.8675
angles: 83.29 73.96 22.75
Last column: nearest neighbours and their distance in Å.
Atoms (fractional coordinates):
Cd (0.0000, 0.0000, 0.0000)  6 Cd 2.87-3.09, 2 Os 2.91, 2 Si 3.14
Si (0.6964, 0.6964, 0.3036)  2 Os 2.34
Os (0.3229, 0.3229, 0.6771)  2 Si 2.34

* energy relative to the elements, uncorrected: 0.43 eV/atom
* size of the total moment: 0.00 Bohr magnetons per cell
* density of states at the Fermi level: 1.77 states/eV/f.u.
* symmetry: Fmm2